(1)
This record from the Alexandria database describes an optimized crystal structure of SmYI6. The functional is GGA-PBE.

POSCAR file:
```
SmYI6
1.0
7.542 0.000 0.000
0.000 14.774 0.000
-2.374 0.000 7.156
Sm Y I
2 2 12
Direct
0.000 0.000 0.000 Sm
0.500 0.500 0.000 Sm
0.000 0.500 0.500 Y
0.500 0.000 0.500 Y
0.245 0.355 0.746 I
0.245 0.645 0.746 I
0.249 0.500 0.252 I
0.251 0.000 0.748 I
0.255 0.145 0.254 I
0.255 0.855 0.254 I
0.745 0.145 0.746 I
0.745 0.855 0.746 I
0.749 0.000 0.252 I
0.751 0.500 0.748 I
0.755 0.355 0.254 I
0.755 0.645 0.254 I
```

Its space-group type is C2/m (12). For the total energy, the calculation gives -3.92 eV per atom. The relative energy among the computed polymorphs comes out at 0.0 kJ per mole of atoms.



(2)
This record from the Alexandria database describes an optimized crystal structure of SmYI5. The functional is GGA-PBE.

POSCAR file:
```
SmYI5
1.0
9.480 0.000 0.000
0.000 4.213 0.000
-1.719 0.000 14.899
Sm Y I
2 2 10
Direct
0.090 0.250 0.159 Sm
0.910 0.750 0.841 Sm
0.393 0.750 0.351 Y
0.607 0.250 0.649 Y
0.128 0.250 0.788 I
0.159 0.250 0.374 I
0.179 0.750 0.018 I
0.376 0.750 0.570 I
0.431 0.250 0.199 I
0.569 0.750 0.801 I
0.624 0.250 0.430 I
0.821 0.250 0.982 I
0.841 0.750 0.626 I
0.872 0.750 0.212 I
```

Its space-group type is P2_1/m (11). For the total energy, the calculation gives -4.04 eV per atom.



(3)
This record from the Alexandria database describes an optimized crystal structure of SmYI4. The functional is GGA-PBE.

POSCAR file:
```
SmYI4
1.0
7.232 0.000 0.000
0.000 4.172 0.000
-2.350 0.000 8.063
Sm Y I
1 1 4
Direct
0.000 0.000 0.000 Sm
0.500 0.500 0.000 Y
0.253 0.500 0.248 I
0.259 0.000 0.756 I
0.741 0.000 0.244 I
0.747 0.500 0.752 I
```

Its space-group type is P2/m (10). For the total energy, the calculation gives -4.15 eV per atom.



(4)
This record from the Alexandria database describes an optimized crystal structure of SmYI. The functional is GGA-PBE.

POSCAR file:
```
SmYI
1.0
3.873 0.000 0.000
-1.936 3.354 0.000
0.000 0.000 7.643
Sm Y I
1 1 1
Direct
0.000 0.000 0.000 Sm
0.667 0.333 0.352 Y
0.333 0.667 0.669 I
```

Its space-group type is P3m1 (156). For the total energy, the calculation gives -4.79 eV per atom. The relative energy among the computed polymorphs comes out at 0.0 kJ per mole of atoms.